Entry 1
{"formula": "KFeSi2", "functional": "SCAN", "state": "single point on PBEsol structure", "magmom_total_mub_per_cell": 2.62, "sg": "No. 119", "volume_a3_per_atom": 16.81, "density_g_cm3": 3.73, "dos_ef_per_ev_cell": 1.610, "cell": [[-2.279, 2.279, 3.237], [2.279, -2.279, 3.237], [2.279, 2.279, -3.237]], "species": ["K", "Fe", "Si", "Si"], "frac_coords": [[0.000, 0.000, 0.000], [0.250, 0.750, 0.500], [0.500, 0.500, 0.000], [0.750, 0.250, 0.500]]}

=====

Entry 2
{"formula": "KFeSi2", "functional": "SCAN", "state": "single point on PBEsol structure", "magmom_total_mub_per_cell": 2.02, "sg": "No. 12", "volume_a3_per_atom": 18.69, "density_g_cm3": 3.36, "dos_ef_per_ev_cell": 1.361, "cell": [[3.787, -1.428, 0.000], [3.787, 1.428, 0.000], [-0.881, 0.000, 6.913]], "species": ["K", "Fe", "Si", "Si"], "frac_coords": [[0.000, 0.000, 0.000], [0.500, 0.500, 0.500], [0.227, 0.227, 0.638], [0.773, 0.773, 0.362]]}

=====

Name the most stable of them. entry 2.

=====

Entry 1
{"formula": "ZrFe2Tc", "functional": "SCAN", "state": "single point on PBEsol structure", "magmom_total_mub_per_cell": 3.79, "sg": "No. 225", "volume_a3_per_atom": 13.80, "density_g_cm3": 9.05, "dos_ef_per_ev_cell": 4.849, "cell": [[0.000, 3.022, 3.022], [3.022, 0.000, 3.022], [3.022, 3.022, 0.000]], "species": ["Zr", "Fe", "Fe", "Tc"], "frac_coords": [[0.000, 0.000, 0.000], [0.250, 0.250, 0.250], [0.750, 0.750, 0.750], [0.500, 0.500, 0.500]]}

=====

Entry 2
{"formula": "ZrFe2Tc", "functional": "SCAN", "state": "single point on PBEsol structure", "magmom_total_mub_per_cell": 4.73, "sg": "No. 71", "volume_a3_per_atom": 14.15, "density_g_cm3": 8.83, "dos_ef_per_ev_cell": 3.467, "cell": [[-1.566, 2.133, 4.236], [1.566, -2.133, 4.236], [1.566, 2.133, -4.236]], "species": ["Zr", "Fe", "Fe", "Tc"], "frac_coords": [[0.000, 0.000, 0.000], [0.260, 0.760, 0.500], [0.740, 0.240, 0.500], [0.500, 0.500, 0.000]]}

=====

Name the most stable of them. entry 2.

=====

Entry 1
{"formula": "Ag2Au", "functional": "SCAN", "state": "single point on PBEsol structure", "magmom_total_mub_per_cell": 0.00, "sg": "No. 139", "volume_a3_per_atom": 16.64, "density_g_cm3": 13.73, "dos_ef_per_ev_cell": 0.721, "cell": [[-1.424, 1.424, 6.157], [1.424, -1.424, 6.157], [1.424, 1.424, -6.157]], "species": ["Ag", "Ag", "Au"], "frac_coords": [[0.167, 0.167, 0.000], [0.833, 0.833, 0.000], [0.500, 0.500, 0.000]]}

=====

Entry 2
{"formula": "Ag2Au", "functional": "SCAN", "state": "single point on PBEsol structure", "magmom_total_mub_per_cell": 0.00, "sg": "No. 71", "volume_a3_per_atom": 16.64, "density_g_cm3": 13.73, "dos_ef_per_ev_cell": 0.725, "cell": [[-1.423, 2.035, 4.309], [1.423, -2.035, 4.309], [1.423, 2.035, -4.309]], "species": ["Ag", "Ag", "Au"], "frac_coords": [[0.167, 0.167, 0.000], [0.833, 0.833, 0.000], [0.500, 0.500, 0.000]]}

=====

Name the most stable of them. entry 2.

=====

Entry 1
{"formula": "LaSbSe2", "functional": "SCAN", "state": "single point on PBEsol structure", "magmom_total_mub_per_cell": 0.00, "sg": "No. 10", "volume_a3_per_atom": 25.32, "density_g_cm3": 6.86, "dos_ef_per_ev_cell": 1.162, "cell": [[3.905, 0.000, 0.000], [0.000, 3.867, 0.000], [-1.791, 0.000, 6.707]], "species": ["La", "Sb", "Se", "Se"], "frac_coords": [[0.000, 0.000, 0.000], [0.000, 0.000, 0.500], [0.387, 0.500, 0.768], [0.613, 0.500, 0.232]]}

=====

Entry 2
{"formula": "LaSbSe2", "functional": "SCAN", "state": "single point on PBEsol structure", "magmom_total_mub_per_cell": 0.00, "sg": "No. 123", "volume_a3_per_atom": 24.38, "density_g_cm3": 7.13, "dos_ef_per_ev_cell": 3.175, "cell": [[3.721, 0.000, 0.000], [0.000, 3.721, 0.000], [0.000, 0.000, 7.046]], "species": ["La", "Sb", "Se", "Se"], "frac_coords": [[0.000, 0.000, 0.000], [0.000, 0.000, 0.500], [0.500, 0.500, 0.228], [0.500, 0.500, 0.772]]}

=====

Name the most stable of them. entry 1.